CoSb2F | GGA+U | relaxed

Calculated values
E_tot   -4.086 eV/atom
Density of states at the Fermi level   17.29 states/eV per cell

abc: 6.4843 6.4843 6.4843
angles: 90.00 90.00 90.00
With the nearest neighbours (Å) after each atom.
Space group Fm-3m (No. 225)
Symmetry-distinct sites (fractional):
Co 0.0000 0.0000 0.0000 x4  8 Sb 2.81
Sb 0.2500 0.2500 0.2500 x8  4 F 2.81, 4 Co 2.81
F 0.0000 0.0000 0.5000 x4  8 Sb 2.81